## Er3ZnSn (PBE)

Data for a relaxed Er3ZnSn crystal.

Magnetization, μB/cell: 0.000
D(E_F), states/eV per atom: 0.811
E, eV per atom: -4.0134
Crystal system: orthorhombic
Calculated volume, A^3/atom: 25.969
ΔH_f (0 K), eV per atom: -0.220
Theoretical density, Mg/m³: 8.772

Lattice parameters (Å, degrees): 5.896 8.283 10.635 90.00 90.00 90.00
Fractional positions:
Sn 0.000 0.500 0.000
Er 0.218 0.713 0.250
Er 0.485 0.362 0.401
Er 0.015 0.862 0.901
Er 0.485 0.362 0.099
Er 0.782 0.287 0.750
Er 0.282 0.213 0.750
Zn 0.590 0.932 0.750
Er 0.515 0.638 0.901
Er 0.718 0.787 0.250
Er 0.015 0.862 0.599
Sn 0.000 0.500 0.500
Sn 0.500 0.000 0.000
Zn 0.410 0.068 0.250
Er 0.985 0.138 0.099
Sn 0.500 0.000 0.500
Zn 0.090 0.568 0.750
Er 0.515 0.638 0.599
Er 0.985 0.138 0.401
Zn 0.910 0.432 0.250

## K2BeGe (PBE)

Data for a relaxed K2BeGe crystal.

Magnetization, μB/cell: 0.000
D(E_F), states/eV per atom: 0.518
E, eV per atom: -2.6266
E above lowest polymorph, eV/atom: 0.000
Crystal system: triclinic
Calculated volume, A^3/atom: 36.163
ΔH_f (0 K), eV per atom: 0.008
Theoretical density, Mg/m³: 1.835

Lattice parameters (Å, degrees): 3.884 6.805 11.729 78.23 80.67 73.59
Fractional positions:
K 0.502 0.649 0.851
Ge 0.792 0.794 0.123
K 0.820 0.211 0.641
K 0.180 0.789 0.359
K 0.498 0.351 0.149
Ge 0.208 0.206 0.877
Be 0.252 0.957 0.040
Be 0.748 0.043 0.960

## CaAlSi2Ni (PBE)

Data for a relaxed CaAlSi2Ni crystal.

Magnetization, μB/cell: 0.000
D(E_F), states/eV per atom: 0.246
E, eV per atom: -4.9856
Formation energy without anion corrections, meV/atom: -511
Crystal system: tetragonal
Calculated volume, A^3/atom: 16.659
Theoretical density, Mg/m³: 3.627

Lattice parameters (Å, degrees): 4.002 4.002 5.921 109.75 109.75 90.00
Fractional positions:
Si 0.615 0.615 0.230
Al 0.750 0.250 0.500
Si 0.385 0.385 0.770
Ca 0.000 0.000 0.000
Ni 0.250 0.750 0.500